# BeHgBr2

An optimized crystal structure of BeHgBr2 (GGA-PBEsol, the Alexandria database).

a = 6.656 Å, b = 6.656 Å, c = 6.656 Å
α = 96.20°, β = 116.49°, γ = 116.49°
Fractional coordinates of all 8 atoms:
1 Be 0.000 0.500 0.500
2 Be 0.500 0.250 0.750
3 Hg 0.000 0.000 0.000
4 Hg 0.500 0.750 0.250
5 Br 0.857 0.482 0.125
6 Br 0.143 0.268 0.625
7 Br 0.643 0.375 0.518
8 Br 0.357 0.875 0.732

Computed properties:
formation energy (no corrections) = -0.513 eV per atom
density = 5.621 Mg/m³
DOS at the Fermi energy = 0.00 states/eV/cell